This record from Alexandria describes a geometry-optimized Fe4O3F5 structure. The functional is GGA+U.

Summary:
ΔE to the lowest computed polymorph: 168.0 meV/atom
ρ: 4415 kg/m³

Structure (CIF):
```
data_Fe4O3F5
_chemical_formula_sum 'Fe8 O6 F10'
_symmetry_space_group_name_H-M 'P 1'
_symmetry_Int_Tables_number 1
_symmetry_space_group_name_Hall 'P 1'
_cell_length_a 4.7122
_cell_length_b 7.7560
_cell_length_c 7.8060
_cell_angle_alpha 104.81
_cell_angle_beta 91.36
_cell_angle_gamma 91.59
loop_
_atom_site_label
_atom_site_type_symbol
_atom_site_fract_x
_atom_site_fract_y
_atom_site_fract_z
Fe1 Fe 0.0000 0.0000 0.0000
Fe2 Fe 0.0047 0.4959 0.5091
Fe3 Fe 0.0740 0.7582 0.2659
Fe4 Fe 0.4578 0.6066 0.8743
Fe5 Fe 0.4926 0.3923 0.1320
Fe6 Fe 0.5050 0.1273 0.3692
Fe7 Fe 0.5178 0.8669 0.6244
Fe8 Fe 0.9785 0.2360 0.7252
O1 O 0.1882 0.4584 0.7145
O2 O 0.2013 0.7079 0.4836
O3 O 0.2131 0.9842 0.2224
O4 O 0.3064 0.6033 0.0966
O5 O 0.7950 0.2728 0.5141
O6 O 0.8187 0.0252 0.7835
F1 F 0.2087 0.2163 0.9643
F2 F 0.2976 0.3407 0.3533
F3 F 0.3049 0.8422 0.8625
F4 F 0.3086 0.0976 0.5838
F5 F 0.7017 0.1573 0.1520
F6 F 0.7072 0.6357 0.6684
F7 F 0.7072 0.9076 0.3855
F8 F 0.7095 0.4008 0.8954
F9 F 0.8059 0.7767 0.0288
F10 F 0.8176 0.5352 0.2931
```



This record from Alexandria describes a geometry-optimized Fe2O3F structure. The functional is GGA+U.

Summary:
ΔE to the lowest computed polymorph: 38.3 meV/atom
ρ: 4530 kg/m³

Structure (CIF):
```
data_Fe2O3F
_chemical_formula_sum 'Fe8 O12 F4'
_symmetry_space_group_name_H-M 'P 1 21/c 1'
_symmetry_Int_Tables_number 14
_symmetry_space_group_name_Hall '-P 2ybc'
_cell_length_a 5.5534
_cell_length_b 4.6297
_cell_length_c 10.2343
_cell_angle_alpha 90.00
_cell_angle_beta 95.36
_cell_angle_gamma 90.00
loop_
_atom_site_label
_atom_site_type_symbol
_atom_site_fract_x
_atom_site_fract_y
_atom_site_fract_z
Fe1 Fe 0.0000 0.0000 0.0000
Fe2 Fe 0.2436 0.0219 0.7396
Fe3 Fe 0.5000 0.0000 0.5000
O1 O 0.0187 0.6962 0.6716
O2 O 0.2378 0.2082 0.5683
O3 O 0.4849 0.1883 0.3325
F1 F 0.2657 0.7034 0.4164
```



This record from Alexandria describes a geometry-optimized FeOF structure. The functional is GGA+U.

Summary:
E_tot: -287.77 eV per cell
ρ: 4670 kg/m³

Structure (CIF):
```
data_FeOF
_chemical_formula_sum 'Fe16 O16 F16'
_symmetry_space_group_name_H-M 'F d d d'
_symmetry_Int_Tables_number 70
_cell_length_a 6.9033
_cell_length_b 7.7373
_cell_length_c 9.6757
_cell_angle_alpha 90.00
_cell_angle_beta 90.00
_cell_angle_gamma 90.00
loop_
_symmetry_equiv_pos_as_xyz
'x,y,z'
'-x,-y,-z'
'-x+1/4,-y+1/4,z'
'x+1/4,y+1/4,-z'
'x,-y+1/4,-z+1/4'
'-x,y+1/4,z+1/4'
'-x+1/4,y,-z+1/4'
'x+1/4,-y,z+1/4'
'x,y+1/2,z+1/2'
'-x,-y+1/2,-z+1/2'
'-x+1/4,-y+3/4,z+1/2'
'x+1/4,y+3/4,-z+1/2'
'x,-y+3/4,-z+3/4'
'-x,y+3/4,z+3/4'
'-x+1/4,y+1/2,-z+3/4'
'x+1/4,-y+1/2,z+3/4'
'x+1/2,y,z+1/2'
'-x+1/2,-y,-z+1/2'
'-x+3/4,-y+1/4,z+1/2'
'x+3/4,y+1/4,-z+1/2'
'x+1/2,-y+1/4,-z+3/4'
'-x+1/2,y+1/4,z+3/4'
'-x+3/4,y,-z+3/4'
'x+3/4,-y,z+3/4'
'x+1/2,y+1/2,z'
'-x+1/2,-y+1/2,-z'
'-x+3/4,-y+3/4,z'
'x+3/4,y+3/4,-z'
'x+1/2,-y+3/4,-z+1/4'
'-x+1/2,y+3/4,z+1/4'
'-x+3/4,y+1/2,-z+1/4'
'x+3/4,-y+1/2,z+1/4'
loop_
_atom_site_label
_atom_site_type_symbol
_atom_site_fract_x
_atom_site_fract_y
_atom_site_fract_z
Fe1 Fe 0.1250 0.3270 0.1250
O1 O 0.1250 0.1250 0.2606
F1 F 0.0000 0.0000 0.5000
```



This record from Alexandria describes a geometry-optimized Fe10O9F11 structure. The functional is GGA+U.

Summary:
ΔE to the lowest computed polymorph: 376.0 meV/atom
ρ: 4659 kg/m³

Structure (CIF):
```
data_Fe10O9F11
_chemical_formula_sum 'Fe10 O9 F11'
_symmetry_space_group_name_H-M 'P 1 m 1'
_symmetry_Int_Tables_number 6
_symmetry_space_group_name_Hall 'P -2y'
_cell_length_a 4.5935
_cell_length_b 15.3319
_cell_length_c 4.6157
_cell_angle_alpha 90.00
_cell_angle_beta 92.28
_cell_angle_gamma 90.00
loop_
_atom_site_label
_atom_site_type_symbol
_atom_site_fract_x
_atom_site_fract_y
_atom_site_fract_z
Fe1 Fe 0.0000 0.0000 0.0000
Fe2 Fe 0.0017 0.1995 0.0046
Fe3 Fe 0.0309 0.4015 0.9740
Fe4 Fe 0.5017 0.2934 0.4416
Fe5 Fe 0.5115 0.0998 0.4286
Fe6 Fe 0.5267 0.5000 0.4702
O1 O 0.1855 0.1000 0.1644
O2 O 0.2115 0.2959 0.1612
O3 O 0.2345 0.5000 0.1763
O4 O 0.7022 0.2001 0.2748
O5 O 0.7101 0.0000 0.2725
O6 O 0.8224 0.5000 0.7622
F1 F 0.2995 0.0000 0.6783
F2 F 0.3038 0.1974 0.6682
F3 F 0.3333 0.3943 0.6459
F4 F 0.7044 0.3958 0.2767
F5 F 0.7988 0.1005 0.7860
F6 F 0.8060 0.2958 0.7660
```



This record from Alexandria describes a geometry-optimized Fe2O3F structure. The functional is GGA+U.

Summary:
ΔE to the lowest computed polymorph: 52.7 meV/atom
ρ: 4525 kg/m³

Structure (CIF):
```
data_Fe2O3F
_chemical_formula_sum 'Fe12 O18 F6'
_symmetry_space_group_name_H-M 'A m m 2'
_symmetry_Int_Tables_number 38
_symmetry_space_group_name_Hall 'A 2 -2'
_cell_length_a 8.9675
_cell_length_b 6.3889
_cell_length_c 6.8676
_cell_angle_alpha 90.00
_cell_angle_beta 90.00
_cell_angle_gamma 90.00
loop_
_atom_site_label
_atom_site_type_symbol
_atom_site_fract_x
_atom_site_fract_y
_atom_site_fract_z
Fe1 Fe 0.0000 0.0000 0.0000
Fe2 Fe 0.1660 0.0000 0.5357
Fe3 Fe 0.3318 0.0000 0.0060
Fe4 Fe 0.5000 0.0000 0.4721
O1 O 0.0000 0.1943 0.5159
O2 O 0.1614 0.0000 0.8260
O3 O 0.3307 0.1938 0.5052
O4 O 0.5000 0.0000 0.1834
F1 F 0.1607 0.0000 0.2016
F2 F 0.5000 0.0000 0.8037
```



This record from Alexandria describes a geometry-optimized FeOF structure. The functional is GGA+U.

Summary:
E_tot: -288.61 eV per cell
ρ: 4286 kg/m³

Structure (CIF):
```
data_FeOF
_chemical_formula_sum 'Fe16 O16 F16'
_symmetry_space_group_name_H-M 'I 41/a'
_symmetry_Int_Tables_number 88
_cell_length_a 9.5625
_cell_length_b 9.5625
_cell_length_c 6.1578
_cell_angle_alpha 90.00
_cell_angle_beta 90.00
_cell_angle_gamma 90.00
loop_
_symmetry_equiv_pos_as_xyz
'x,y,z'
'-x,-y,-z'
'-y+3/4,x+1/4,z+1/4'
'y+3/4,-x+1/4,-z+1/4'
'-x+1/2,-y,z+1/2'
'x+1/2,y,-z+1/2'
'y+3/4,-x+3/4,z+3/4'
'-y+3/4,x+3/4,-z+3/4'
'x+1/2,y+1/2,z+1/2'
'-x+1/2,-y+1/2,-z+1/2'
'-y+1/4,x+3/4,z+3/4'
'y+1/4,-x+3/4,-z+3/4'
'-x,-y+1/2,z'
'x,y+1/2,-z'
'y+1/4,-x+1/4,z+1/4'
'-y+1/4,x+1/4,-z+1/4'
loop_
_atom_site_label
_atom_site_type_symbol
_atom_site_fract_x
_atom_site_fract_y
_atom_site_fract_z
Fe1 Fe 0.0105 0.4858 0.2344
O1 O 0.0942 0.0971 0.9950
F1 F 0.0969 0.0949 0.5040
```



This record from Alexandria describes a geometry-optimized Fe4O5F3 structure. The functional is GGA+U.

Summary:
ΔE to the lowest computed polymorph: 98.1 meV/atom
ρ: 4442 kg/m³

Structure (CIF):
```
data_Fe4O5F3
_chemical_formula_sum 'Fe8 O10 F6'
_symmetry_space_group_name_H-M 'P 1'
_symmetry_Int_Tables_number 1
_symmetry_space_group_name_Hall 'P 1'
_cell_length_a 4.7400
_cell_length_b 6.0298
_cell_length_c 9.9294
_cell_angle_alpha 107.52
_cell_angle_beta 95.03
_cell_angle_gamma 90.14
loop_
_atom_site_label
_atom_site_type_symbol
_atom_site_fract_x
_atom_site_fract_y
_atom_site_fract_z
Fe1 Fe 0.0000 0.0000 0.0000
Fe2 Fe 0.0089 0.5125 0.0016
Fe3 Fe 0.4364 0.3894 0.2737
Fe4 Fe 0.4697 0.6370 0.7708
Fe5 Fe 0.4792 0.8839 0.2536
Fe6 Fe 0.5375 0.1361 0.7416
Fe7 Fe 0.9525 0.7518 0.4944
Fe8 Fe 0.9744 0.2620 0.5075
O1 O 0.1514 0.4631 0.4186
O2 O 0.1840 0.7142 0.9138
O3 O 0.2837 0.0872 0.1610
O4 O 0.2836 0.5839 0.1613
O5 O 0.2942 0.3369 0.6620
O6 O 0.6553 0.6773 0.3496
O7 O 0.6674 0.1847 0.3538
O8 O 0.6813 0.9295 0.8494
O9 O 0.6934 0.4361 0.8529
O10 O 0.8017 0.0536 0.5958
F1 F 0.1695 0.9586 0.4097
F2 F 0.1876 0.2062 0.9038
F3 F 0.2840 0.8354 0.6563
F4 F 0.7801 0.5651 0.6069
F5 F 0.7932 0.8046 0.0995
F6 F 0.8120 0.3008 0.0889
```



This record from Alexandria describes a geometry-optimized Fe4O3F5 structure. The functional is GGA+U.

Summary:
ΔE to the lowest computed polymorph: 6.2 meV/atom
ρ: 4293 kg/m³

Structure (CIF):
```
data_Fe4O3F5
_chemical_formula_sum 'Fe16 O12 F20'
_symmetry_space_group_name_H-M 'C m c m'
_symmetry_Int_Tables_number 63
_symmetry_space_group_name_Hall '-C 2c 2'
_cell_length_a 7.0151
_cell_length_b 6.5232
_cell_length_c 12.3871
_cell_angle_alpha 90.00
_cell_angle_beta 90.00
_cell_angle_gamma 90.00
loop_
_atom_site_label
_atom_site_type_symbol
_atom_site_fract_x
_atom_site_fract_y
_atom_site_fract_z
Fe1 Fe 0.0000 0.0000 0.0000
Fe2 Fe 0.0000 0.0277 0.2500
Fe3 Fe 0.0000 0.4912 0.1189
O1 O 0.0000 0.2984 0.5026
O2 O 0.0000 0.3300 0.2500
F1 F 0.0000 0.2863 0.7500
F2 F 0.2002 0.0048 0.1197
```



Question: Which value of ρ does entry 5 give?
Answer: 4525 kg/m³



Question: Which value of ρ does entry 1 give?
Answer: 4415 kg/m³



Question: Which formula does entry 2 have?
Answer: Fe2O3F